DFT (GGA-PBE) results for a relaxed structure of BaBi2Pd6.

Lattice parameters (Å, degrees): 5.8587 5.8587 7.1803 90.00 90.00 120.00
Space group P6/mmm (No. 191)
Unique sites:
Ba 0.0000 0.0000 0.0000
Bi 0.3333 0.6667 0.5000
Pd 0.0000 0.5000 0.1920

Properties
Crystal system: hexagonal
Energy of formation (eV/f.u.): -1.96

---

DFT (GGA-PBE) results for a relaxed structure of BaBi6Pd6.

Lattice parameters (Å, degrees): 6.0101 9.6096 10.4485 90.00 90.00 90.00
Space group Immm (No. 71)
Unique sites:
Ba 0.0000 0.0000 0.0000
Bi 0.0000 0.0000 0.3411
Bi 0.0000 0.3412 0.0000
Bi 0.0000 0.5000 0.3245
Pd 0.0000 0.2578 0.5000
Pd 0.2500 0.2500 0.2500

Properties
Crystal system: orthorhombic
Energy of formation (eV/f.u.): -4.23

---

DFT (GGA-PBE) results for a relaxed structure of Ba2PmBi3Pd4.

Lattice parameters (Å, degrees): 4.8521 4.8521 11.7308 90.00 90.00 90.00
Space group P-4m2 (No. 115)
Unique sites:
Ba 0.0000 0.5000 0.2254
Pm 0.0000 0.0000 0.5000
Bi 0.0000 0.5000 0.8787
Bi 0.5000 0.5000 0.5000
Pd 0.0000 0.0000 0.0000
Pd 0.0000 0.5000 0.6406
Pd 0.5000 0.5000 0.0000

Properties
Crystal system: tetragonal
Energy of formation (eV/f.u.): -6.90

---

DFT (GGA-PBE) results for a relaxed structure of BaPmBiPd.

Lattice parameters (Å, degrees): 7.9149 7.9149 7.9149 90.00 90.00 90.00
Space group F-43m (No. 216)
Unique sites:
Ba 0.0000 0.0000 0.0000
Pm 0.0000 0.0000 0.5000
Bi 0.2500 0.2500 0.7500
Pd 0.2500 0.2500 0.2500

Properties
Crystal system: cubic
Energy of formation (eV/f.u.): -2.30

---

DFT (GGA-PBE) results for a relaxed structure of Ba2Bi3Pd4Pt.

Lattice parameters (Å, degrees): 4.8053 4.8053 11.1005 90.00 90.00 90.00
Space group P-4m2 (No. 115)
Unique sites:
Ba 0.0000 0.5000 0.2396
Bi 0.0000 0.0000 0.0000
Bi 0.0000 0.5000 0.6253
Pd 0.0000 0.0000 0.5000
Pd 0.0000 0.5000 0.8754
Pd 0.5000 0.5000 0.5000
Pt 0.5000 0.5000 0.0000

Properties
Crystal system: tetragonal
Energy of formation (eV/f.u.): -5.40

---

DFT (GGA-PBE) results for a relaxed structure of Ba2Bi4PdPt3.

Lattice parameters (Å, degrees): 4.9768 4.9768 10.9946 90.00 90.00 90.00
Space group P-4m2 (No. 115)
Unique sites:
Ba 0.0000 0.5000 0.2383
Bi 0.0000 0.0000 0.5000
Bi 0.0000 0.5000 0.8775
Bi 0.5000 0.5000 0.5000
Pd 0.5000 0.5000 0.0000
Pt 0.0000 0.0000 0.0000
Pt 0.0000 0.5000 0.6239

Properties
Crystal system: tetragonal
Energy of formation (eV/f.u.): -6.28

---

DFT (GGA-PBE) results for a relaxed structure of BaReBi2Pd.

Lattice parameters (Å, degrees): 5.3528 5.3528 5.7551 90.00 90.00 90.00
Space group P4/mmm (No. 123)
Unique sites:
Ba 0.0000 0.0000 0.0000
Re 0.5000 0.5000 0.0000
Bi 0.0000 0.5000 0.5000
Pd 0.0000 0.0000 0.5000

Properties
Crystal system: tetragonal
Energy of formation (eV/f.u.): 4.75

---

DFT (GGA-PBE) results for a relaxed structure of Ba2Bi4Pd3Rh.

Lattice parameters (Å, degrees): 4.9220 4.9220 11.0877 90.00 90.00 90.00
Space group P-4m2 (No. 115)
Unique sites:
Ba 0.0000 0.5000 0.2407
Bi 0.0000 0.0000 0.5000
Bi 0.0000 0.5000 0.8825
Bi 0.5000 0.5000 0.5000
Pd 0.0000 0.0000 0.0000
Pd 0.0000 0.5000 0.6296
Rh 0.5000 0.5000 0.0000

Properties
Crystal system: tetragonal
Energy of formation (eV/f.u.): -5.78

---

DFT (GGA-PBE) results for a relaxed structure of BaBi3PdRh.

Lattice parameters (Å, degrees): 7.0093 15.7814 7.0500 90.00 90.00 90.00
Space group Cmcm (No. 63)
Unique sites:
Ba 0.0000 0.1909 0.2500
Bi 0.0000 0.2424 0.7500
Bi 0.2478 0.0000 0.0000
Pd 0.0000 0.4133 0.7500
Rh 0.0000 0.0769 0.7500

Properties
Crystal system: orthorhombic
Energy of formation (eV/f.u.): -1.93

---

DFT (GGA-PBE) results for a relaxed structure of BaBiSb2Pd5.

Lattice parameters (Å, degrees): 4.5200 4.5200 11.1560 90.00 90.00 90.00
Space group P4/mmm (No. 123)
Unique sites:
Ba 0.0000 0.0000 0.0000
Bi 0.0000 0.0000 0.5000
Sb 0.5000 0.5000 0.2300
Pd 0.0000 0.5000 0.3526
Pd 0.5000 0.5000 0.0000

Properties
Crystal system: tetragonal
Uncorrected formation energy (meV per atom): -427.6

---

DFT (GGA-PBE) results for a relaxed structure of Ba3BiSb2Pd9.

Lattice parameters (Å, degrees): 6.9358 6.9358 9.6060 90.00 90.00 120.00
Space group P-3m1 (No. 164)
Unique sites:
Ba 0.0000 0.0000 0.0000
Ba 0.3333 0.6667 0.6899
Bi 0.0000 0.0000 0.5000
Sb 0.3333 0.6667 0.1805
Pd 0.0000 0.5000 0.0000
Pd 0.1366 0.2732 0.2789

Properties
Crystal system: trigonal
Uncorrected formation energy (meV per atom): -452.7

---

DFT (GGA-PBE) results for a relaxed structure of BaBi2SbPd2.

Lattice parameters (Å, degrees): 5.1568 5.1568 6.6880 90.00 90.00 90.00
Space group P4/mmm (No. 123)
Unique sites:
Ba 0.0000 0.0000 0.0000
Bi 0.5000 0.5000 0.2450
Sb 0.0000 0.0000 0.5000
Pd 0.0000 0.5000 0.5000

Properties
Crystal system: tetragonal
Uncorrected formation energy (meV per atom): -378.4